Entry 1:
10
Lattice="-1.265 -3.693 -0.657 1.219 -1.060 3.614 -9.075 2.435 3.775" Properties=species:S:1:pos:R:3 comment="Pr2Ni7Ge (GGA-PBE, relaxed)" formation_energy_ev_per_atom=-0.24 pbc="T T T"
Pr -7.335 -0.048 2.460
Pr -1.762 0.106 2.794
Ni -7.264 1.583 5.082
Ni -3.944 -0.958 1.049
Ni -1.833 -1.524 0.171
Ni -5.153 1.016 4.204
Ni -4.537 1.218 1.888
Ni 0.000 0.000 0.000
Ni -4.560 -1.159 3.366
Ge -0.023 -2.377 1.478



Entry 2:
5
Lattice="-1.549 2.855 3.699 2.014 -3.164 3.286 4.228 2.515 -0.171" Properties=species:S:1:pos:R:3 comment="BaMgTa2Cu (GGA-PBE, relaxed)" formation_energy_ev_per_atom=1.04 pbc="T T T"
Mg 1.007 -1.582 1.643
Ba 2.347 1.103 3.407
Cu 0.000 0.000 0.000
Ta 2.114 1.257 -0.085
Ta -0.774 1.428 1.849



Entry 3:
12
Lattice="-0.553 -1.740 -4.615 -3.957 -3.791 1.904 -7.364 6.837 -1.695" Properties=species:S:1:pos:R:3 comment="LiSb2 (GGA-PBE, relaxed)" formation_energy_uncorrected_ev_per_atom=-0.158 pbc="T T T"
Sb -6.509 5.009 -2.443
Sb -4.584 -0.697 -3.191
Sb -7.292 2.003 -1.215
Sb -5.366 -3.703 -1.964
Sb -4.255 1.952 -1.560
Sb -8.672 4.062 -4.495
Sb -3.204 -2.756 0.089
Sb -7.620 -0.646 -2.846
Li -5.583 -0.850 -0.344
Li -9.678 1.567 -3.434
Li -2.197 -0.261 -0.973
Li -6.292 2.156 -4.062



Entry 4:
12
Lattice="4.412 0.000 0.000 0.000 9.088 0.215 -2.206 -2.732 9.411" Properties=species:S:1:pos:R:3 comment="Pr6InSi2Te3 (GGA-PBE, relaxed)" formation_energy_uncorrected_ev_per_atom=-1.026 pbc="T T T"
Pr 0.000 6.338 6.420
Pr 2.206 4.208 3.379
Pr 2.206 0.018 3.206
Pr 0.000 2.303 0.200
Pr 2.206 4.053 9.426
Pr 0.000 2.148 6.247
In 2.206 0.000 0.000
Si 2.206 4.242 6.408
Si 0.000 2.114 3.218
Te 2.206 4.544 0.107
Te 2.206 -0.300 6.353
Te 0.000 6.656 3.273



Entry 5:
12
Lattice="0.109 4.510 4.353 -7.818 -0.320 -3.899 -3.366 -6.980 7.323" Properties=species:S:1:pos:R:3 comment="Cs2RbNbBr8 (GGA-PBE, relaxed)" formation_energy_uncorrected_ev_per_atom=-1.266 pbc="T T T"
Cs -6.327 -3.031 5.611
Cs -4.749 0.240 2.166
Rb -1.683 -3.490 3.661
Nb 0.000 0.000 0.000
Br -7.034 -1.041 -1.573
Br -9.598 -4.580 6.747
Br -1.823 2.843 4.528
Br -4.042 -1.750 9.350
Br -1.477 1.789 1.030
Br -9.253 -5.634 3.249
Br -7.487 -1.797 2.615
Br -3.588 -0.994 5.163



Entry 6:
9
Lattice="-1.439 3.461 -0.558 -2.226 -2.798 1.257 6.029 6.592 25.360" Properties=species:S:1:pos:R:3 comment="Zr3Te4S2 (GGA-PBE, relaxed)" formation_energy_uncorrected_ev_per_atom=-0.918 pbc="T T T"
Zr 1.576 1.723 6.629
Zr 4.453 4.869 18.731
Zr -1.701 1.375 0.047
Te 0.306 3.570 8.492
Te 3.180 6.713 20.581
Te -0.554 2.629 4.873
Te 2.320 5.772 16.962
S 5.687 6.218 23.920
S 0.342 0.374 1.440



Entry 7:
18
Lattice="9.365 -0.187 1.756 2.384 9.058 1.756 5.467 4.128 9.427" Properties=species:S:1:pos:R:3 comment="TbSm5Tm3 (GGA-PBE, relaxed)" formation_energy_ev_per_atom=0.49 pbc="T T T"
Tb 5.056 3.818 6.128
Tb 12.160 9.182 6.810
Sm 10.197 4.039 4.522
Sm 4.164 6.701 1.756
Sm 14.868 11.226 11.882
Sm 7.062 5.332 3.966
Sm 10.154 7.667 8.972
Sm 2.348 1.773 1.056
Sm 6.676 8.702 4.522
Sm 7.585 2.170 1.756
Sm 7.019 8.960 8.416
Sm 10.540 4.298 8.416
Tm 12.544 9.472 10.177
Tm 9.707 7.329 5.661
Tm 0.000 0.000 0.000
Tm 2.734 2.064 4.713
Tm 4.672 3.528 2.761
Tm 7.509 5.670 7.277



Entry 8:
5
Lattice="6.065 0.000 0.000 0.000 6.065 0.000 0.000 0.000 6.065" Properties=species:S:1:pos:R:3 comment="In3CBr (GGA-PBE, relaxed)" formation_energy_uncorrected_ev_per_atom=1.528 pbc="T T T"
C 3.032 3.032 3.032
Br 0.000 0.000 0.000
In 0.000 3.032 0.000
In 0.000 0.000 3.032
In 3.032 0.000 0.000